{
  "formula": "TePt2Se",
  "functional": "PBE",
  "state": "optimized geometry",
  "cell": [[1.952, 1.127, 6.719], [-1.952, 1.127, 6.719], [0.000, -2.254, 6.719]],
  "species": ["Te", "Pt", "Pt", "Se"],
  "fractional_positions": [[0.000, 0.000, 0.000], [0.475, 0.475, 0.475], [0.732, 0.732, 0.732], [0.194, 0.194, 0.194]],
  "de_polymorph_ev_per_atom": 0.000,
  "crystal_system": "trigonal",
  "e_form_raw_ev_per_atom": -0.311
}